(1)
Computed, not measured: crystalline CrSb2Te at its relaxed geometry at the PBE-GGA level of DFT.

ΔE_f (raw): 849.6 meV/atom
E: -4.4029 eV/atom
Crystal system: cubic

Structure (CIF):
```
data_CrSb2Te
_chemical_formula_sum 'Cr4 Sb8 Te4'
_symmetry_space_group_name_H-M 'F m -3 m'
_symmetry_Int_Tables_number 225
_symmetry_space_group_name_Hall '-F 4 2 3'
_cell_length_a 7.102
_cell_length_b 7.102
_cell_length_c 7.102
_cell_angle_alpha 90.00
_cell_angle_beta 90.00
_cell_angle_gamma 90.00
loop_
_atom_site_label
_atom_site_type_symbol
_atom_site_fract_x
_atom_site_fract_y
_atom_site_fract_z
Cr1 Cr 0.000 0.000 0.000
Sb1 Sb 0.250 0.250 0.250
Te1 Te 0.000 0.000 0.500
```

(2)
Computed, not measured: crystalline Cs4Ca3PbF12 at its relaxed geometry at the PBE-GGA level of DFT.

ΔE_f (raw): -3236.5 meV/atom
E: -5.0157 eV/atom
Crystal system: cubic

Structure (CIF):
```
data_Cs4Ca3PbF12
_chemical_formula_sum 'Cs8 Ca6 Pb2 F24'
_symmetry_space_group_name_H-M 'I m -3 m'
_symmetry_Int_Tables_number 229
_symmetry_space_group_name_Hall '-I 4 2 3'
_cell_length_a 9.322
_cell_length_b 9.322
_cell_length_c 9.322
_cell_angle_alpha 90.00
_cell_angle_beta 90.00
_cell_angle_gamma 90.00
loop_
_atom_site_label
_atom_site_type_symbol
_atom_site_fract_x
_atom_site_fract_y
_atom_site_fract_z
Cs1 Cs 0.250 0.250 0.250
Ca1 Ca 0.000 0.000 0.500
Pb1 Pb 0.000 0.000 0.000
F1 F 0.000 0.000 0.261
F2 F 0.000 0.250 0.500
```

(3)
Computed, not measured: crystalline Ba8TlIrPt2 at its relaxed geometry at the PBE-GGA level of DFT.

ΔE_f: -0.393 eV/atom
E: -3.6171 eV/atom
Crystal system: monoclinic

Structure (CIF):
```
data_Ba8TlIrPt2
_chemical_formula_sum 'Ba8 Tl1 Ir1 Pt2'
_symmetry_space_group_name_H-M 'P 1 2/m 1'
_symmetry_Int_Tables_number 10
_symmetry_space_group_name_Hall '-P 2y'
_cell_length_a 7.537
_cell_length_b 9.740
_cell_length_c 7.702
_cell_angle_alpha 90.00
_cell_angle_beta 90.93
_cell_angle_gamma 90.00
loop_
_atom_site_label
_atom_site_type_symbol
_atom_site_fract_x
_atom_site_fract_y
_atom_site_fract_z
Ba1 Ba 0.207 0.000 0.345
Ba2 Ba 0.231 0.500 0.318
Ba3 Ba 0.272 0.277 0.822
Tl1 Tl 0.500 0.000 0.000
Ir1 Ir 0.500 0.500 0.000
Pt1 Pt 0.000 0.255 0.500
```

(4)
Computed, not measured: crystalline LaPuHgIr at its relaxed geometry at the PBE-GGA level of DFT.

ΔE_f: -0.324 eV/atom
E: -7.4291 eV/atom
Crystal system: cubic

Structure (CIF):
```
data_LaPuHgIr
_chemical_formula_sum 'La4 Pu4 Hg4 Ir4'
_symmetry_space_group_name_H-M 'F -4 3 m'
_symmetry_Int_Tables_number 216
_symmetry_space_group_name_Hall 'F -4 2 3'
_cell_length_a 7.324
_cell_length_b 7.324
_cell_length_c 7.324
_cell_angle_alpha 90.00
_cell_angle_beta 90.00
_cell_angle_gamma 90.00
loop_
_atom_site_label
_atom_site_type_symbol
_atom_site_fract_x
_atom_site_fract_y
_atom_site_fract_z
La1 La 0.000 0.000 0.000
Pu1 Pu 0.000 0.000 0.500
Hg1 Hg 0.250 0.250 0.250
Ir1 Ir 0.250 0.250 0.750
```

(5)
Computed, not measured: crystalline ZnOsPt2 at its relaxed geometry at the PBE-GGA level of DFT.

ΔE_f: 0.091 eV/atom
E: -6.0558 eV/atom
Crystal system: tetragonal

Structure (CIF):
```
data_ZnOsPt2
_chemical_formula_sum 'Zn1 Os1 Pt2'
_symmetry_space_group_name_H-M 'P 4/m m m'
_symmetry_Int_Tables_number 123
_symmetry_space_group_name_Hall '-P 4 2'
_cell_length_a 3.851
_cell_length_b 3.851
_cell_length_c 4.019
_cell_angle_alpha 90.00
_cell_angle_beta 90.00
_cell_angle_gamma 90.00
loop_
_atom_site_label
_atom_site_type_symbol
_atom_site_fract_x
_atom_site_fract_y
_atom_site_fract_z
Zn1 Zn 0.000 0.000 0.000
Os1 Os 0.500 0.500 0.000
Pt1 Pt 0.000 0.500 0.500
```

(6)
Computed, not measured: crystalline Ac12Tl6Pd at its relaxed geometry at the PBE-GGA level of DFT.

ΔE_f: -0.216 eV/atom
E: -3.8313 eV/atom
Crystal system: trigonal

Structure (CIF):
```
data_Ac12Tl6Pd
_chemical_formula_sum 'Ac36 Tl18 Pd3'
_symmetry_space_group_name_H-M 'R -3'
_symmetry_Int_Tables_number 148
_symmetry_space_group_name_Hall '-R 3'
_cell_length_a 13.2674
_cell_length_b 13.2674
_cell_length_c 14.9543
_cell_angle_alpha 90.00
_cell_angle_beta 90.00
_cell_angle_gamma 120.00
loop_
_atom_site_label
_atom_site_type_symbol
_atom_site_fract_x
_atom_site_fract_y
_atom_site_fract_z
Ac1 Ac 0.0323 0.8369 0.3791
Ac2 Ac 0.0372 0.1946 0.8900
Tl1 Tl 0.0051 0.3984 0.7576
Pd1 Pd 0.0000 0.0000 0.5000
```

(7)
Computed, not measured: crystalline NaGa2B at its relaxed geometry at the PBE-GGA level of DFT.

ΔE_f: 0.405 eV/atom
E: -3.1074 eV/atom
Crystal system: tetragonal

Structure (CIF):
```
data_NaGa2B
_chemical_formula_sum 'Na4 Ga8 B4'
_symmetry_space_group_name_H-M 'I -4 2 d'
_symmetry_Int_Tables_number 122
_symmetry_space_group_name_Hall 'I -4 2bw'
_cell_length_a 6.532
_cell_length_b 6.532
_cell_length_c 9.388
_cell_angle_alpha 90.00
_cell_angle_beta 90.00
_cell_angle_gamma 90.00
loop_
_atom_site_label
_atom_site_type_symbol
_atom_site_fract_x
_atom_site_fract_y
_atom_site_fract_z
Na1 Na 0.000 0.000 0.000
Ga1 Ga 0.008 0.750 0.625
B1 B 0.000 0.000 0.500
```

(8)
Computed, not measured: crystalline Pr2Ag2Rh at its relaxed geometry at the PBE-GGA level of DFT.

ΔE_f: -0.386 eV/atom
E: -4.9088 eV/atom
Crystal system: triclinic

Structure (CIF):
```
data_Pr2Ag2Rh
_chemical_formula_sum 'Pr4 Ag4 Rh2'
_symmetry_space_group_name_H-M 'P -1'
_symmetry_Int_Tables_number 2
_symmetry_space_group_name_Hall '-P 1'
_cell_length_a 4.025
_cell_length_b 5.752
_cell_length_c 11.552
_cell_angle_alpha 79.55
_cell_angle_beta 80.12
_cell_angle_gamma 69.53
loop_
_atom_site_label
_atom_site_type_symbol
_atom_site_fract_x
_atom_site_fract_y
_atom_site_fract_z
Pr1 Pr 0.001 0.163 0.336
Pr2 Pr 0.190 0.247 0.873
Ag1 Ag 0.335 0.287 0.542
Ag2 Ag 0.462 0.682 0.895
Rh1 Rh 0.304 0.587 0.303
```

Q: What is the formula in the third record?
A: Ba8TlIrPt2

Q: The lowest E belongs to which entry?
A: LaPuHgIr